Record 1
Compound: CrTc3
Source: the Alexandria database
Functional: GGA-PBE
Structure: relaxed

extended XYZ file:
```
4
Lattice="-3.430 -0.084 -1.690 1.391 -2.314 -2.709 -0.963 -3.044 2.106" Properties=species:S:1:pos:R:3 pbc="T T T"
Tc -1.020 -1.199 -2.199
Tc -2.196 -1.564 0.208
Tc 0.214 -2.679 -0.301
Cr 0.000 0.000 0.000
```

Values from the calculation:
energy: -10.038 eV per atom
formation energy from the elements: 0.142 eV/atom
DOS at the Fermi energy: 4.7 states/eV per cell
calculated density: 10.269 g cm⁻³
space-group type: No. 221
total moment: 0.00 μB/cell

---

Record 2
Compound: PuMgZn2Ga2
Source: the Alexandria database
Functional: GGA-PBE
Structure: relaxed

extended XYZ file:
```
6
Lattice="4.408 0.000 0.000 -2.204 3.817 0.000 0.000 0.000 6.850" Properties=species:S:1:pos:R:3 pbc="T T T"
Ga 0.000 2.545 1.690
Ga 2.204 1.272 5.160
Zn 0.000 2.545 5.001
Zn 2.204 1.272 1.849
Pu 0.000 0.000 0.000
Mg 0.000 0.000 3.425
```

Values from the calculation:
energy: -4.335 eV per atom
formation energy from the elements: -0.247 eV/atom
DOS at the Fermi energy: 13.6 states/eV per cell
calculated density: 7.760 g cm⁻³
space-group type: No. 164
total moment: 5.24 μB/cell

---

Record 3
Compound: DyPaCuGe
Source: the Alexandria database
Functional: GGA-PBE
Structure: relaxed

extended XYZ file:
```
4
Lattice="-2.681 -4.163 -0.114 0.246 -3.208 3.766 -3.866 -0.541 3.050" Properties=species:S:1:pos:R:3 pbc="T T T"
Ge 0.000 0.000 0.000
Dy -1.575 -1.978 1.675
Pa -4.726 -5.934 5.026
Cu -3.151 -3.956 3.351
```

Values from the calculation:
energy: -5.904 eV per atom
formation energy from the elements: -0.201 eV/atom
DOS at the Fermi energy: 5.6 states/eV per cell
calculated density: 10.235 g cm⁻³
space-group type: No. 216
total moment: 0.40 μB/cell

---

Record 4
Compound: FeAsPC
Source: the Alexandria database
Functional: GGA-PBE
Structure: relaxed

extended XYZ file:
```
4
Lattice="3.180 -0.002 0.009 0.005 3.990 -0.020 1.570 1.310 4.383" Properties=species:S:1:pos:R:3 pbc="T T T"
C 1.605 4.611 2.265
P 1.603 2.886 1.818
As 1.593 4.863 4.242
Fe 3.192 1.535 1.363
```

Values from the calculation:
energy: -6.354 eV per atom
formation energy from the elements: 0.583 eV/atom
ΔE to the lowest computed polymorph: 0.399 eV/atom
DOS at the Fermi energy: 2.4 states/eV per cell
calculated density: 5.186 g cm⁻³
space-group type: No. 1
total moment: 0.00 μB/cell

---

Record 5
Compound: P2S3I2
Source: the Alexandria database
Functional: GGA-PBE
Structure: relaxed

extended XYZ file:
```
7
Lattice="-4.103 0.939 -2.137 4.497 -2.785 -4.133 -2.986 -7.222 3.082" Properties=species:S:1:pos:R:3 pbc="T T T"
S -1.022 -1.827 -2.982
S 0.000 0.000 0.000
S -1.570 -7.241 -0.206
I -0.948 -2.460 0.689
I -1.644 -6.608 -3.878
P 0.869 -2.003 -3.911
P -3.461 -7.065 0.723
```

Values from the calculation:
energy: -3.684 eV per atom
DOS at the Fermi energy: 2.0 states/eV per cell
calculated density: 2.810 g cm⁻³
space-group type: No. 2
total moment: 0.00 μB/cell

---

Record 6
Compound: Pm2HfSb3
Source: the Alexandria database
Functional: GGA-PBE
Structure: relaxed

extended XYZ file:
```
6
Lattice="-0.406 -1.304 -4.147 -4.033 -1.443 0.847 -1.204 9.613 -0.606" Properties=species:S:1:pos:R:3 pbc="T T T"
Hf -2.987 7.206 -1.960
Pm -0.719 1.757 -0.469
Pm -4.046 3.042 -2.849
Sb -2.864 0.204 -2.069
Sb -1.902 4.596 -1.248
Sb -5.206 5.832 -3.610
```

Values from the calculation:
energy: -6.160 eV per atom
DOS at the Fermi energy: 2.5 states/eV per cell
calculated density: 7.892 g cm⁻³
space-group type: No. 139
total moment: 0.00 μB/cell

---

Record 7
Compound: CaY2Hg9
Source: the Alexandria database
Functional: GGA-PBE
Structure: relaxed

extended XYZ file:
```
12
Lattice="4.674 0.000 0.000 0.000 4.674 0.000 0.000 0.000 13.660" Properties=species:S:1:pos:R:3 pbc="T T T"
Hg 2.337 2.337 4.611
Hg 0.000 2.337 2.336
Hg 2.337 0.000 11.325
Hg 0.000 2.337 11.325
Hg 2.337 0.000 6.830
Hg 2.337 0.000 2.336
Hg 2.337 2.337 9.049
Hg 0.000 2.337 6.830
Hg 2.337 2.337 0.000
Y 0.000 0.000 9.091
Y 0.000 0.000 4.569
Ca 0.000 0.000 0.000
```

Values from the calculation:
energy: -1.815 eV per atom
formation energy from the elements: -0.345 eV/atom
DOS at the Fermi energy: 6.7 states/eV per cell
calculated density: 11.257 g cm⁻³
space-group type: No. 123
total moment: 0.00 μB/cell

---

Record 8
Compound: La2ThCl
Source: the Alexandria database
Functional: GGA-PBE
Structure: relaxed

extended XYZ file:
```
4
Lattice="3.587 0.000 0.000 0.000 3.587 0.000 0.000 0.000 9.518" Properties=species:S:1:pos:R:3 pbc="T T T"
Cl 1.794 1.794 0.000
La 0.000 0.000 7.231
La 0.000 0.000 2.288
Th 1.794 1.794 4.759
```

Values from the calculation:
energy: -5.405 eV per atom
ΔE to the lowest computed polymorph: 0.105 eV/atom
DOS at the Fermi energy: 5.2 states/eV per cell
calculated density: 7.392 g cm⁻³
space-group type: No. 123
total moment: 0.00 μB/cell

---

Record 9
Compound: Tb3HgTe6
Source: the Alexandria database
Functional: GGA-PBE
Structure: relaxed

extended XYZ file:
```
20
Lattice="-2.110 -3.870 5.852 9.047 0.116 3.338 -3.925 7.933 3.832" Properties=species:S:1:pos:R:3 pbc="T T T"
Te 1.490 3.004 8.731
Te 3.028 -2.105 6.429
Te 1.832 1.741 3.433
Te -2.271 3.697 7.405
Te -1.856 3.409 3.729
Te 4.938 0.896 9.102
Te 3.501 4.363 5.769
Te -3.857 6.961 4.875
Te -0.179 0.382 6.395
Te 5.790 1.410 4.212
Te 0.054 6.410 6.402
Te 7.161 -2.250 7.341
Hg -1.187 6.220 3.798
Hg 5.204 -0.202 6.441
Tb 1.959 -0.108 8.654
Tb 1.131 -1.173 4.067
Tb -2.391 -1.621 7.087
Tb 0.897 3.543 11.688
Tb 0.530 3.324 5.822
Tb 4.419 3.992 8.668
```

Values from the calculation:
energy: -4.313 eV per atom
DOS at the Fermi energy: 13.9 states/eV per cell
calculated density: 7.234 g cm⁻³
space-group type: No. 36
total moment: 0.00 μB/cell

---

Record 10
Compound: TbDy7Th3
Source: the Alexandria database
Functional: GGA-PBE
Structure: relaxed

extended XYZ file:
```
11
Lattice="-6.557 -5.124 -1.899 4.505 -4.840 -2.495 -1.888 -0.108 6.809" Properties=species:S:1:pos:R:3 pbc="T T T"
Dy -1.768 -3.961 -0.553
Dy -0.470 -6.414 1.587
Dy -0.626 -1.434 1.651
Dy -1.563 -1.487 5.030
Dy 0.672 -3.889 3.792
Dy 0.467 -6.361 -1.790
Dy 1.645 -3.832 0.395
Th -2.884 -6.434 -2.733
Th -1.577 -8.906 -0.578
Th -3.827 -6.488 0.668
Tb -2.744 -4.019 2.843
```

Values from the calculation:
energy: -5.163 eV per atom
formation energy from the elements: 0.210 eV/atom
ΔE to the lowest computed polymorph: 0.059 eV/atom
DOS at the Fermi energy: 15.1 states/eV per cell
calculated density: 8.963 g cm⁻³
space-group type: No. 156
total moment: 0.00 μB/cell

---

Record 11
Compound: AlCd2Au8
Source: the Alexandria database
Functional: GGA-PBE
Structure: relaxed

extended XYZ file:
```
11
Lattice="-2.377 1.601 -3.007 -0.203 -5.425 -2.728 -5.544 0.842 7.701" Properties=species:S:1:pos:R:3 pbc="T T T"
Au -5.323 -1.820 3.239
Au -2.802 -1.162 -1.273
Au -5.012 0.922 4.453
Au -2.864 -0.997 1.733
Au -5.261 -1.985 0.233
Au -7.865 1.030 3.897
Au -3.113 -3.903 -2.488
Au -0.260 -4.011 -1.931
Cd -2.788 -3.579 0.298
Cd -5.337 0.598 1.668
Al -1.189 0.801 -1.503
```

Values from the calculation:
energy: -3.013 eV per atom
formation energy from the elements: -0.123 eV/atom
ΔE to the lowest computed polymorph: 0.014 eV/atom
DOS at the Fermi energy: 3.0 states/eV per cell
calculated density: 14.347 g cm⁻³
space-group type: No. 12
total moment: 0.00 μB/cell

---

Record 12
Compound: TaTe3As
Source: the Alexandria database
Functional: GGA-PBE
Structure: relaxed

extended XYZ file:
```
5
Lattice="-0.070 5.170 1.558 -4.734 -0.808 2.471 2.598 -1.334 4.542" Properties=species:S:1:pos:R:3 pbc="T T T"
Te -2.367 -0.404 1.235
Te -0.035 2.585 0.779
Te 1.299 -0.667 2.271
Ta 0.000 0.000 0.000
As -1.102 1.514 4.286
```

Values from the calculation:
energy: -4.620 eV per atom
ΔE to the lowest computed polymorph: 0.000 eV/atom
DOS at the Fermi energy: 5.4 states/eV per cell
calculated density: 6.733 g cm⁻³
space-group type: No. 221
total moment: 2.12 μB/cell

---

Record 13
Compound: NdHo3Cu
Source: the Alexandria database
Functional: GGA-PBE
Structure: relaxed

extended XYZ file:
```
5
Lattice="5.367 0.000 0.000 0.000 5.367 0.000 0.000 0.000 5.367" Properties=species:S:1:pos:R:3 pbc="T T T"
Ho 2.683 0.000 0.000
Ho 0.000 0.000 2.683
Ho 0.000 2.683 0.000
Cu 0.000 0.000 0.000
Nd 2.683 2.683 2.683
```

Values from the calculation:
energy: -4.446 eV per atom
formation energy from the elements: 0.074 eV/atom
DOS at the Fermi energy: 5.7 states/eV per cell
calculated density: 7.548 g cm⁻³
space-group type: No. 221
total moment: 0.00 μB/cell

---

Record 14
Compound: PaHRu2
Source: the Alexandria database
Functional: GGA-PBE
Structure: relaxed

extended XYZ file:
```
8
Lattice="4.567 0.001 -2.074 -0.200 5.017 -0.441 -0.398 -0.370 5.191" Properties=species:S:1:pos:R:3 pbc="T T T"
Ru -0.191 2.820 1.097
Ru 2.897 3.078 1.558
Ru 2.295 0.312 0.234
Ru 0.610 0.569 2.862
H 1.356 1.694 1.460
H 1.350 4.203 1.196
Pa 1.154 2.764 3.923
Pa 3.537 0.256 3.107
```

Values from the calculation:
energy: -8.059 eV per atom
ΔE to the lowest computed polymorph: 0.000 eV/atom
DOS at the Fermi energy: 5.0 states/eV per cell
calculated density: 12.663 g cm⁻³
space-group type: No. 15
total moment: 0.00 μB/cell

---

Record 15
Compound: Tm3Ag2Au
Source: the Alexandria database
Functional: GGA-PBE
Structure: relaxed

extended XYZ file:
```
6
Lattice="-0.324 3.318 -3.794 -3.361 0.135 3.767 3.651 3.921 3.117" Properties=species:S:1:pos:R:3 pbc="T T T"
Ag 0.034 3.754 3.281
Ag -0.068 3.619 -0.190
Au 0.000 0.000 0.000
Tm 1.826 1.960 1.559
Tm 1.733 5.553 1.348
Tm -1.767 1.820 1.743
```

Values from the calculation:
energy: -4.265 eV per atom
formation energy from the elements: -0.533 eV/atom
DOS at the Fermi energy: 2.4 states/eV per cell
calculated density: 11.151 g cm⁻³
space-group type: No. 164
total moment: 0.00 μB/cell

---

Record 16
Compound: LiGdCuRh
Source: the Alexandria database
Functional: GGA-PBE
Structure: relaxed

extended XYZ file:
```
4
Lattice="4.652 0.000 0.000 2.326 4.029 0.000 2.326 1.343 3.799" Properties=species:S:1:pos:R:3 pbc="T T T"
Rh 6.978 4.029 2.849
Cu 2.326 1.343 0.950
Gd 0.000 0.000 0.000
Li 4.652 2.686 1.899
```

Values from the calculation:
energy: -7.132 eV per atom
formation energy from the elements: -0.271 eV/atom
DOS at the Fermi energy: 0.6 states/eV per cell
calculated density: 7.711 g cm⁻³
space-group type: No. 216
total moment: 6.99 μB/cell

---

Record 17
Compound: Sm3ErRu
Source: the Alexandria database
Functional: GGA-PBE
Structure: relaxed

extended XYZ file:
```
5
Lattice="-1.639 -2.943 -4.306 -3.926 -2.275 3.050 -3.434 4.006 -1.431" Properties=species:S:1:pos:R:3 pbc="T T T"
Ru 0.000 0.000 0.000
Sm -1.717 2.003 -0.716
Sm -1.963 -1.138 1.525
Sm -0.820 -1.472 -2.153
Er -4.500 -0.606 -1.344
```

Values from the calculation:
energy: -5.569 eV per atom
formation energy from the elements: 0.030 eV/atom
ΔE to the lowest computed polymorph: 0.167 eV/atom
DOS at the Fermi energy: 8.9 states/eV per cell
calculated density: 7.310 g cm⁻³
space-group type: No. 221
total moment: 0.09 μB/cell

---

Record 18
Compound: CaTiTc2
Source: the Alexandria database
Functional: GGA-PBE
Structure: relaxed

extended XYZ file:
```
8
Lattice="4.698 0.000 0.000 0.000 4.698 0.000 2.349 2.349 8.669" Properties=species:S:1:pos:R:3 pbc="T T T"
Tc 5.873 2.584 6.502
Tc 4.464 3.524 2.167
Tc 4.933 1.175 2.167
Tc 3.524 2.115 6.502
Ca 2.349 4.698 4.334
Ca 2.349 2.349 0.000
Ti 4.698 2.349 4.334
Ti 0.000 0.000 0.000
```

Values from the calculation:
energy: -6.880 eV per atom
formation energy from the elements: 0.777 eV/atom
ΔE to the lowest computed polymorph: 0.368 eV/atom
DOS at the Fermi energy: 9.4 states/eV per cell
calculated density: 4.928 g cm⁻³
space-group type: No. 122
total moment: 0.00 μB/cell

---

Record 19
Compound: FeOsSe3
Source: the Alexandria database
Functional: GGA-PBE
Structure: relaxed

extended XYZ file:
```
5
Lattice="4.888 0.000 0.000 0.000 4.888 0.000 0.000 0.000 4.888" Properties=species:S:1:pos:R:3 pbc="T T T"
Os 0.000 0.000 0.000
Se 2.444 0.000 0.000
Se 0.000 2.444 0.000
Se 0.000 0.000 2.444
Fe 2.444 2.444 2.444
```

Values from the calculation:
energy: -5.008 eV per atom
ΔE to the lowest computed polymorph: 0.000 eV/atom
DOS at the Fermi energy: 9.6 states/eV per cell
calculated density: 6.867 g cm⁻³
space-group type: No. 221
total moment: 2.69 μB/cell

---

Record 20
Compound: Dy2Y5TmSc
Source: the Alexandria database
Functional: GGA-PBE
Structure: relaxed

extended XYZ file:
```
18
Lattice="-3.744 -4.005 -0.460 9.341 -4.871 -0.709 0.109 -1.262 10.103" Properties=species:S:1:pos:R:3 pbc="T T T"
Y -1.592 -2.536 2.134
Y 5.412 -9.300 4.032
Y 3.990 -4.068 2.947
Y 0.202 -4.518 4.798
Y 7.295 -7.570 6.540
Y 1.736 -6.299 7.824
Y 1.100 -4.970 1.419
Y 5.455 -5.046 -0.455
Y 4.595 -5.042 6.503
Y 0.242 -0.237 0.090
Dy 3.867 -7.554 1.402
Dy 4.062 -8.406 7.241
Dy 1.835 -2.540 7.181
Dy 1.658 -1.889 2.951
Sc 2.808 -2.608 -0.141
Sc 2.849 -6.952 4.447
Tm -0.326 -4.523 9.140
Tm 6.075 -6.108 3.742
```

Values from the calculation:
energy: -5.655 eV per atom
formation energy from the elements: 0.159 eV/atom
DOS at the Fermi energy: 32.3 states/eV per cell
calculated density: 5.720 g cm⁻³
space-group type: No. 36
total moment: 0.00 μB/cell